## 1
A relaxed structure of Cs4NbTe4, computed with PBE.

Spin magnetization in μB per cell: 1.01
Space-group type: I-42m (121)
N(E_F) in states/eV/cell: 5.63

a = 9.7078 Å, b = 9.7078 Å, c = 9.7078 Å
α = 82.30°, β = 124.54°, γ = 124.54°
Last column: nearest neighbours and their distance in Å.
Fractional coordinates of all 9 atoms:
Cs1 0.5000 0.0000 0.5000  4 Te 3.69
Cs2 0.0000 0.6908 0.6908  2 Te 3.70
Cs3 0.5000 0.5000 0.0000  4 Te 3.69
Cs4 0.0000 0.3092 0.3092  2 Te 3.70
Te1 0.0000 0.7208 0.0664  1 Nb 2.70
Te2 0.3456 0.2792 0.2792  1 Nb 2.70
Te3 0.6544 0.9336 0.9336  1 Nb 2.70
Te4 0.0000 0.0664 0.7208  1 Nb 2.70
Nb1 0.0000 0.0000 0.0000  4 Te 2.70

=====

## 2
A relaxed structure of Cs4NbTe4, computed with PBE.

Spin magnetization in μB per cell: 0.95
Space-group type: I4/m (87)

a = 7.6489 Å, b = 8.7217 Å, c = 8.7217 Å
α = 78.91°, β = 63.99°, γ = 63.99°
Last column: nearest neighbours and their distance in Å.
Fractional coordinates of all 9 atoms:
Te1 0.9212 0.8419 0.3158  1 Nb 2.77
Te2 0.0788 0.1581 0.6842  1 Nb 2.77
Te3 0.2370 0.6842 0.8419  1 Nb 2.77
Te4 0.7630 0.3158 0.1581  1 Nb 2.77
Cs1 0.4199 0.7873 0.3728  5 Te 3.76-4.06
Cs2 0.5801 0.2127 0.6272  5 Te 3.76-4.06
Cs3 0.2072 0.3728 0.2127  5 Te 3.76-4.06
Cs4 0.7928 0.6272 0.7873  5 Te 3.76-4.06
Nb1 0.0000 0.0000 0.0000  4 Te 2.77

=====

The data favor 1; the next most stable structure lies 0.112 eV/atom above it.

=====

## 1
A relaxed structure of CsTiNb3, computed with PBE.

Spin magnetization in μB per cell: 1.63
Space-group type: Pm-3m (221)
N(E_F) in states/eV/cell: 5.45

a = 5.0069 Å, b = 5.0069 Å, c = 5.0069 Å
α = 90.00°, β = 90.00°, γ = 90.00°
Last column: nearest neighbours and their distance in Å.
Fractional coordinates of all 5 atoms:
Nb1 0.5000 0.0000 0.0000  2 Cs 2.50
Nb2 0.0000 0.5000 0.0000  2 Cs 2.50
Nb3 0.0000 0.0000 0.5000  2 Cs 2.50
Ti1 0.5000 0.5000 0.5000  12 Nb 3.54
Cs1 0.0000 0.0000 0.0000  6 Nb 2.50

=====

## 2
A relaxed structure of CsTiNb3, computed with PBE.

Spin magnetization in μB per cell: 0.00
Space-group type: Pm-3m (221)
N(E_F) in states/eV/cell: 9.16

a = 4.9939 Å, b = 4.9939 Å, c = 4.9939 Å
α = 90.00°, β = 90.00°, γ = 90.00°
Last column: nearest neighbours and their distance in Å.
Fractional coordinates of all 5 atoms:
Cs1 0.5000 0.5000 0.5000  12 Nb 3.53
Nb1 0.0000 0.5000 0.0000  2 Ti 2.50
Nb2 0.0000 0.0000 0.5000  2 Ti 2.50
Nb3 0.5000 0.0000 0.0000  2 Ti 2.50
Ti1 0.0000 0.0000 0.0000  6 Nb 2.50

=====

The data favor 2; the next most stable structure lies 0.964 eV/atom above it.

=====

## 1
A relaxed structure of CsTi2Nb, computed with PBE.

Spin magnetization in μB per cell: 0.00
Space-group type: Fm-3m (225)
N(E_F) in states/eV/cell: 4.76

a = 4.9438 Å, b = 4.9438 Å, c = 4.9438 Å
α = 60.00°, β = 60.00°, γ = 60.00°
Last column: nearest neighbours and their distance in Å.
Fractional coordinates of all 4 atoms:
Cs1 0.5000 0.5000 0.5000  8 Ti 3.03
Ti1 0.2500 0.2500 0.2500  4 Cs 3.03, 4 Nb 3.03
Ti2 0.7500 0.7500 0.7500  4 Cs 3.03, 4 Nb 3.03
Nb1 0.0000 0.0000 0.0000  8 Ti 3.03

=====

## 2
A relaxed structure of CsTi2Nb, computed with PBE.

Spin magnetization in μB per cell: 0.00
Space-group type: I4_1/amd (141)
N(E_F) in states/eV/cell: 0.45

a = 7.7011 Å, b = 7.7011 Å, c = 7.6772 Å
α = 59.90°, β = 59.90°, γ = 90.00°
Last column: nearest neighbours and their distance in Å.
Fractional coordinates of all 8 atoms:
Cs1 0.7500 0.2500 0.5000  12 Ti 4.49-4.51, 4 Cs 4.71, 4 Nb 4.71
Cs2 0.0000 0.0000 0.0000  12 Ti 4.49-4.51, 4 Nb 4.71, 4 Cs 4.71
Ti1 0.3750 0.1250 0.2500  2 Nb 2.35
Ti2 0.8750 0.6250 0.7500  2 Nb 2.35
Ti3 0.3750 0.6250 0.2500  2 Nb 2.35
Ti4 0.3750 0.6250 0.7500  2 Nb 2.35
Nb1 0.5000 0.5000 0.0000  4 Ti 2.35
Nb2 0.2500 0.7500 0.5000  4 Ti 2.35

=====

The data favor 1; the next most stable structure lies 0.125 eV/atom above it.

=====

## 1
A relaxed structure of CsNb2W, computed with PBE.

Spin magnetization in μB per cell: 0.00
Space-group type: I-42d (122)
N(E_F) in states/eV/cell: 14.16

a = 5.4457 Å, b = 5.4457 Å, c = 9.3123 Å
α = 73.00°, β = 73.00°, γ = 90.00°
Last column: nearest neighbours and their distance in Å.
Fractional coordinates of all 8 atoms:
W1 0.0000 0.0000 0.0000  4 Nb 2.55
W2 0.7500 0.2500 0.5000  4 Nb 2.55
Cs1 0.2500 0.7500 0.5000  4 Nb 3.43
Cs2 0.5000 0.5000 0.0000  4 Nb 3.43
Nb1 0.8029 0.6250 0.2500  2 W 2.55, 2 Nb 2.83
Nb2 0.8750 0.1971 0.7500  2 W 2.55, 2 Nb 2.83
Nb3 0.9471 0.1250 0.2500  2 W 2.55, 2 Nb 2.83
Nb4 0.3750 0.0529 0.7500  2 W 2.55, 2 Nb 2.83

=====

## 2
A relaxed structure of CsNb2W, computed with PBE.

Spin magnetization in μB per cell: 0.00
Space-group type: Fm-3m (225)
N(E_F) in states/eV/cell: 11.68

a = 4.8752 Å, b = 4.8752 Å, c = 4.8752 Å
α = 60.00°, β = 60.00°, γ = 60.00°
Last column: nearest neighbours and their distance in Å.
Fractional coordinates of all 4 atoms:
Nb1 0.2500 0.2500 0.2500  4 W 2.99, 4 Cs 2.99
Nb2 0.7500 0.7500 0.7500  4 Cs 2.99, 4 W 2.99
Cs1 0.0000 0.0000 0.0000  8 Nb 2.99
W1 0.5000 0.5000 0.5000  8 Nb 2.99

=====

The data favor 2; the next most stable structure lies 0.291 eV/atom above it.